[1]
The following is a PBE calculation of an optimized crystal structure of SrMgInIr, from Alexandria.

Output
ΔH_f (0 K): -283 meV/atom
Space-group type: R3m, No. 160
Spin magnetization: 0.00 μB per formula unit
Final energy: -4.002 eV per atom

```
data_SrMgInIr
_space_group_name_H-M_alt 'P 1'
_space_group_IT_number 1
_cell_length_a 6.237
_cell_length_b 6.237
_cell_length_c 6.237
_cell_angle_alpha 43.65
_cell_angle_beta 43.65
_cell_angle_gamma 43.65
loop_
_space_group_symop_operation_xyz
'x,y,z'
loop_
_atom_site_label
_atom_site_type_symbol
_atom_site_fract_x
_atom_site_fract_y
_atom_site_fract_z
_atom_site_occupancy
Sr1 Sr 0.000 0.000 0.000 1
Mg1 Mg 0.533 0.533 0.533 1
In1 In 0.798 0.798 0.798 1
Ir1 Ir 0.188 0.188 0.188 1
```

[2]
The following is a PBE calculation of an optimized crystal structure of TbMgInIr, from Alexandria.

Output
ΔH_f (0 K): -380 meV/atom
Space-group type: F-43m, No. 216
Spin magnetization: 0.00 μB per formula unit
Final energy: -4.836 eV per atom

```
data_TbMgInIr
_space_group_name_H-M_alt 'P 1'
_space_group_IT_number 1
_cell_length_a 4.891
_cell_length_b 4.891
_cell_length_c 4.891
_cell_angle_alpha 60.00
_cell_angle_beta 60.00
_cell_angle_gamma 60.00
loop_
_space_group_symop_operation_xyz
'x,y,z'
loop_
_atom_site_label
_atom_site_type_symbol
_atom_site_fract_x
_atom_site_fract_y
_atom_site_fract_z
_atom_site_occupancy
Tb1 Tb 0.000 0.000 0.000 1
Mg1 Mg 0.500 0.500 0.500 1
In1 In 0.750 0.750 0.750 1
Ir1 Ir 0.250 0.250 0.250 1
```

[3]
The following is a PBE calculation of an optimized crystal structure of ThMgInIr, from Alexandria.

Output
ΔH_f (0 K): -321 meV/atom
Space-group type: F-43m, No. 216
Spin magnetization: 0.00 μB per formula unit
Final energy: -5.475 eV per atom

```
data_ThMgInIr
_space_group_name_H-M_alt 'P 1'
_space_group_IT_number 1
_cell_length_a 5.025
_cell_length_b 5.025
_cell_length_c 5.025
_cell_angle_alpha 60.00
_cell_angle_beta 60.00
_cell_angle_gamma 60.00
loop_
_space_group_symop_operation_xyz
'x,y,z'
loop_
_atom_site_label
_atom_site_type_symbol
_atom_site_fract_x
_atom_site_fract_y
_atom_site_fract_z
_atom_site_occupancy
Th1 Th 0.000 0.000 0.000 1
Mg1 Mg 0.500 0.500 0.500 1
In1 In 0.750 0.750 0.750 1
Ir1 Ir 0.250 0.250 0.250 1
```